[1]
First-principles (PBE) data for Na2NdPtO4 after structural relaxation, as listed in Alexandria via LeMat-Bulk.

Geometry as POSCAR:
```
Na2NdPtO4
1.0
-3.000 3.226 3.268
3.000 -3.226 3.268
3.000 3.226 -3.268
Na Nd Pt O
2 1 1 4
Cartesian
0.000 0.000 1.525 Na
0.000 0.000 5.011 Na
0.000 3.226 0.000 Nd
3.000 0.000 0.000 Pt
3.840 -1.177 1.483 O
2.159 1.177 1.483 O
-0.841 2.049 1.785 O
0.841 4.404 1.785 O
```

- ΔE_f (raw) (eV per atom) = -1.352
- calculated density (g/cm³) = 5.9

***

[2]
First-principles (PBE) data for Re3PtO after structural relaxation, as listed in Alexandria via LeMat-Bulk.

Geometry as POSCAR:
```
Re3PtO
1.0
4.791 0.000 0.000
0.000 4.791 0.000
0.000 0.000 4.791
Re Pt O
3 1 1
Cartesian
0.000 0.000 2.395 Re
0.000 2.395 0.000 Re
2.395 0.000 0.000 Re
0.000 0.000 0.000 Pt
2.395 2.395 2.395 O
```

- ΔE_f (raw) (eV per atom) = 3.047
- polymorph energy (0 for the lowest one) (eV/atom) = 2.7172
- calculated density (g/cm³) = 11.6

***

[3]
First-principles (PBE) data for LaNd6Ho3Tm2 after structural relaxation, as listed in Alexandria via LeMat-Bulk.

Geometry as POSCAR:
```
LaNd6Ho3Tm2
1.0
3.139 -5.437 0.000
3.139 5.437 0.000
-2.092 0.000 11.728
La Nd Ho Tm
1 6 3 2
Cartesian
0.000 0.000 0.000 La
1.053 1.819 2.955 Nd
0.006 0.000 8.771 Nd
1.053 -1.819 2.955 Nd
3.134 1.819 8.773 Nd
4.181 0.000 2.956 Nd
3.134 -1.819 8.773 Nd
2.094 3.620 5.864 Ho
2.094 0.000 5.864 Ho
2.094 -3.620 5.864 Ho
3.139 1.811 0.000 Tm
3.139 -1.811 0.000 Tm
```

- total energy (eV/atom) = -4.666
- calculated density (g/cm³) = 7.6

***

[4]
First-principles (PBE) data for K2CaTlBr6 after structural relaxation, as listed in Alexandria via LeMat-Bulk.

Geometry as POSCAR:
```
K2CaTlBr6
1.0
7.781 0.000 0.000
0.000 8.219 0.000
-7.730 0.000 11.181
K Ca Tl Br
4 2 2 12
Cartesian
-0.222 0.673 2.795 K
-4.086 3.436 8.385 K
4.138 4.783 2.796 K
0.274 7.546 8.386 K
3.891 0.000 0.000 Ca
0.026 4.110 5.590 Ca
-3.865 0.000 5.590 Tl
0.000 4.110 0.000 Tl
-6.197 1.564 10.511 Br
-2.332 2.545 4.920 Br
-5.290 5.775 10.483 Br
-1.425 6.553 4.892 Br
-2.899 0.317 8.444 Br
0.966 3.792 2.854 Br
-0.914 4.427 8.327 Br
2.951 7.902 2.737 Br
1.477 1.666 6.289 Br
5.341 2.444 0.698 Br
2.384 5.674 6.260 Br
6.249 6.655 0.670 Br
```

- ΔE_f (raw) (eV per atom) = -1.458
- calculated density (g/cm³) = 3.7

***

[5]
First-principles (PBE) data for CePrMnZn after structural relaxation, as listed in Alexandria via LeMat-Bulk.

Geometry as POSCAR:
```
CePrMnZn
1.0
0.000 3.638 3.638
3.638 0.000 3.638
3.638 3.638 0.000
Ce Pr Mn Zn
1 1 1 1
Cartesian
0.000 0.000 0.000 Ce
3.638 3.638 3.638 Pr
1.819 1.819 1.819 Mn
5.457 5.457 5.457 Zn
```

- total energy (eV/atom) = -5.229
- calculated density (g/cm³) = 6.9

***

[6]
First-principles (PBE) data for Ta2CrS after structural relaxation, as listed in Alexandria via LeMat-Bulk.

Geometry as POSCAR:
```
Ta2CrS
1.0
-1.916 1.916 9.345
1.916 -1.916 9.345
1.916 1.916 -9.345
Ta Cr S
4 2 2
Cartesian
2.874 0.943 -2.336 Ta
0.943 0.958 2.336 Ta
-0.958 0.973 7.008 Ta
0.973 0.958 11.681 Ta
1.916 0.000 4.672 Cr
0.000 0.000 9.345 Cr
0.000 0.000 0.000 S
0.000 1.916 4.672 S
```

- ΔE_f (raw) (eV per atom) = 0.477
- calculated density (g/cm³) = 10.8

***

Question: calculated density of number 1 (Na2NdPtO4)?
Answer: 5.9 g/cm³

***

Question: Among the records above, which one has the highest calculated density?
Answer: Re3PtO